First-principles (PBE) data for a relaxed structure of Na3ZnAu, as listed in Alexandria via LeMat-Bulk.

## Properties
The calculation puts the formation energy at 98 meV/atom. As for the energy above the lowest structure with this stoichiometry: 239.9 meV/atom. Its final energy is -8.0 eV/cell. As for the total magnetization: 0.0 μB per cell.

Cell lengths 5.571, 5.571, 5.571 Å; angles 90.00, 90.00, 90.00 degrees
Atoms (fractional coordinates):
Na: 0.000 0.000 0.500
Na: 0.500 0.000 0.000
Na: 0.000 0.500 0.000
Au: 0.000 0.000 0.000
Zn: 0.500 0.500 0.500

=====

First-principles (PBE) data for a relaxed structure of PmSm4Dy7, as listed in Alexandria via LeMat-Bulk.

## Properties
The calculation puts the formation energy at 262 meV/atom. As for the energy above the lowest structure with this stoichiometry: 176.2 meV/atom. Its final energy is -52.7 eV/cell. As for the total magnetization: 0.0 μB per cell.

Cell lengths 5.916, 11.638, 6.740 Å; angles 83.36, 63.97, 75.28 degrees
Atoms (fractional coordinates):
Sm: 0.765 0.674 0.795
Sm: 0.364 0.776 0.495
Sm: 0.636 0.224 0.505
Sm: 0.235 0.326 0.205
Dy: 0.935 0.321 0.810
Dy: 0.500 0.000 0.000
Dy: 0.368 0.498 0.766
Dy: 0.632 0.502 0.234
Dy: 0.065 0.679 0.190
Dy: 0.789 0.923 0.499
Dy: 0.211 0.077 0.501
Pm: 0.000 0.000 0.000

=====

First-principles (PBE) data for a relaxed structure of LaInRe4, as listed in Alexandria via LeMat-Bulk.

## Properties
The calculation puts the formation energy at 296 meV/atom. Its final energy is -55.7 eV/cell. As for the total magnetization: 0.0 μB per cell.

Cell lengths 5.439, 5.439, 5.439 Å; angles 60.00, 60.00, 60.00 degrees
Atoms (fractional coordinates):
In: 0.750 0.750 0.750
Re: 0.376 0.376 0.872
Re: 0.376 0.872 0.376
Re: 0.872 0.376 0.376
Re: 0.376 0.376 0.376
La: 0.000 0.000 0.000

=====

First-principles (PBE) data for a relaxed structure of Y9Er2Th, as listed in Alexandria via LeMat-Bulk.

## Properties
The calculation puts the formation energy at 34 meV/atom. Its final energy is -74.3 eV/cell. As for the total magnetization: 0.0 μB per cell.

Cell lengths 5.047, 5.047, 15.104 Å; angles 90.00, 90.00, 90.00 degrees
Atoms (fractional coordinates):
Y: 0.000 0.500 0.834
Y: 0.500 0.000 0.834
Y: 0.500 0.500 0.665
Y: 0.500 0.000 0.166
Y: 0.500 0.500 0.335
Y: 0.000 0.500 0.166
Y: 0.000 0.500 0.500
Y: 0.500 0.000 0.500
Y: 0.500 0.500 0.000
Er: 0.000 0.000 0.334
Er: 0.000 0.000 0.666
Th: 0.000 0.000 0.000

=====

> Which formula does entry 3 have?

LaInRe4

=====

> Which of these has the highest final energy?

Na3ZnAu